Here is crystalline PrPaAs at its relaxed geometry from Alexandria. Energies are from PBE.

Structure (POSCAR):
```
PrPaAs
1.0
1.761 -12.457 0.000
1.761 12.457 0.000
0.000 0.000 3.627
Pr Pa As
2 2 2
direct
0.186 0.814 0.750
0.814 0.186 0.250
0.046 0.954 0.750
0.954 0.046 0.250
0.389 0.611 0.750
0.611 0.389 0.250
```

Properties
For the final energy, the calculation gives -6.717 eV/atom. For the formation enthalpy at 0 K, the calculation gives -408 meV/atom. For the energy relative to the lowest polymorph listed for this composition, the calculation gives 20.4 meV/atom.